Arrangement i

Here is a relaxed structure of BeZnIO2 from the Alexandria database. Energies are from PBE.

Cell lengths 3.610, 3.610, 6.075 Å; angles 90.00, 90.00, 90.00 degrees
Fractional coordinates of all 5 atoms:
Be 0.000 0.000 0.000
Zn 0.500 0.500 0.500
I 0.000 0.000 0.500
O 0.000 0.500 0.000
O 0.500 0.000 0.000

Calculated values
For the density of states at the Fermi level, the calculation gives 3.788 states/eV per cell. The volume is 15.8 Å³/atom.

Arrangement ii

Here is a relaxed structure of BeZnIO2 from the Alexandria database. Energies are from PBE.

Cell lengths 3.741, 3.741, 6.421 Å; angles 90.00, 90.00, 90.00 degrees
Fractional coordinates of all 5 atoms:
Be 0.000 0.000 0.000
Zn 0.500 0.500 0.500
I 0.500 0.500 0.000
O 0.000 0.500 0.500
O 0.500 0.000 0.500

Calculated values
For the density of states at the Fermi level, the calculation gives 2.498 states/eV per cell. The volume is 18.0 Å³/atom.

Relative energy of each structure, in meV per atom: arrangement i 0; arrangement ii 421.

Arrangement i

Here is a relaxed structure of BeZnI2O from the Alexandria database. Energies are from PBE.

Cell lengths 6.808, 6.808, 2.916 Å; angles 90.00, 90.00, 90.00 degrees
Fractional coordinates of all 5 atoms:
Be 0.000 0.000 0.000
Zn 0.500 0.500 0.500
I 0.000 0.500 0.000
I 0.500 0.000 0.000
O 0.000 0.000 0.500

Calculated values
For the density of states at the Fermi level, the calculation gives 4.014 states/eV per cell. The volume is 27.0 Å³/atom.

Arrangement ii

Here is a relaxed structure of BeZnI2O from the Alexandria database. Energies are from PBE.

Cell lengths 5.666, 5.666, 3.694 Å; angles 90.00, 90.00, 90.00 degrees
Fractional coordinates of all 5 atoms:
Be 0.000 0.000 0.000
Zn 0.500 0.500 0.500
I 0.000 0.500 0.500
I 0.500 0.000 0.500
O 0.500 0.500 0.000

Calculated values
For the density of states at the Fermi level, the calculation gives 8.823 states/eV per cell. The volume is 23.7 Å³/atom.

Relative energy of each structure, in meV per atom: arrangement i 0; arrangement ii 965.

Arrangement i

Here is a relaxed structure of BeOs2I from the Alexandria database. Energies are from PBE.

Cell lengths 3.846, 4.334, 11.451 Å; angles 86.10, 86.53, 64.21 degrees
Fractional coordinates of all 8 atoms:
Be 0.000 0.000 0.000
Be 0.122 0.836 0.803
Os 0.414 0.227 0.875
Os 0.543 0.033 0.658
Os 0.708 0.630 0.942
Os 0.829 0.439 0.727
I 0.090 0.001 0.487
I 0.846 0.692 0.170

Calculated values
For the density of states at the Fermi level, the calculation gives 3.573 states/eV per cell. The volume is 21.4 Å³/atom.

Arrangement ii

Here is a relaxed structure of BeOs2I from the Alexandria database. Energies are from PBE.

Cell lengths 12.073, 12.073, 12.073 Å; angles 18.70, 18.70, 18.70 degrees
Fractional coordinates of all 8 atoms:
Be 0.000 0.000 0.000
Be 0.370 0.370 0.370
Os 0.063 0.063 0.063
Os 0.301 0.301 0.301
Os 0.605 0.605 0.605
Os 0.681 0.681 0.681
I 0.442 0.442 0.442
I 0.888 0.888 0.888

Calculated values
For the density of states at the Fermi level, the calculation gives 3.944 states/eV per cell. The volume is 19.8 Å³/atom.

Relative energy of each structure, in meV per atom: arrangement i 0; arrangement ii 16.

Arrangement i

Here is a relaxed structure of BeOs2I from the Alexandria database. Energies are from PBE.

Cell lengths 4.038, 4.050, 11.934 Å; angles 90.45, 91.59, 119.87 degrees
Fractional coordinates of all 8 atoms:
Be 0.000 0.000 0.000
Be 0.404 0.711 0.139
Os 0.080 0.053 0.198
Os 0.312 0.654 0.937
Os 0.680 0.341 0.038
Os 0.770 0.402 0.261
I 0.141 0.066 0.784
I 0.760 0.399 0.477

Calculated values
For the density of states at the Fermi level, the calculation gives 5.305 states/eV per cell. The volume is 21.1 Å³/atom.

Arrangement ii

Here is a relaxed structure of BeOs2I from the Alexandria database. Energies are from PBE.

Cell lengths 4.385, 4.385, 4.385 Å; angles 60.00, 60.00, 60.00 degrees
Fractional coordinates of all 4 atoms:
Be 0.000 0.000 0.000
Os 0.250 0.250 0.250
Os 0.750 0.750 0.750
I 0.500 0.500 0.500

Calculated values
For the density of states at the Fermi level, the calculation gives 2.247 states/eV per cell. The volume is 14.9 Å³/atom.

Relative energy of each structure, in meV per atom: arrangement i 0; arrangement ii 803.

Arrangement i

Here is a relaxed structure of BeOs2I from the Alexandria database. Energies are from PBE.

Cell lengths 4.168, 4.168, 12.122 Å; angles 94.73, 94.73, 59.48 degrees
Fractional coordinates of all 8 atoms:
Be 0.000 0.000 0.000
Be 0.527 0.527 0.164
Os 0.197 0.197 0.163
Os 0.333 0.333 0.940
Os 0.670 0.670 0.001
Os 0.879 0.879 0.224
I 0.294 0.294 0.728
I 0.908 0.908 0.436

Calculated values
For the density of states at the Fermi level, the calculation gives 5.462 states/eV per cell. The volume is 22.6 Å³/atom.

Arrangement ii

Here is a relaxed structure of BeOs2I from the Alexandria database. Energies are from PBE.

Cell lengths 4.352, 4.409, 10.406 Å; angles 93.14, 92.17, 117.19 degrees
Fractional coordinates of all 8 atoms:
Be 0.173 0.185 0.088
Be 0.827 0.815 0.912
Os 0.159 0.480 0.895
Os 0.491 0.146 0.898
Os 0.509 0.854 0.102
Os 0.841 0.520 0.105
I 0.302 0.755 0.660
I 0.698 0.245 0.340

Calculated values
For the density of states at the Fermi level, the calculation gives 5.367 states/eV per cell. The volume is 22.1 Å³/atom.

Arrangement iii

Here is a relaxed structure of BeOs2I from the Alexandria database. Energies are from PBE.

Cell lengths 8.370, 8.370, 8.370 Å; angles 149.46, 149.46, 43.74 degrees
Fractional coordinates of all 8 atoms:
Be 0.000 0.000 0.000
Be 0.750 0.250 0.500
Os 0.001 0.625 0.876
Os 0.375 0.251 0.376
Os 0.749 0.125 0.124
Os 0.875 0.999 0.624
I 0.250 0.750 0.500
I 0.500 0.500 0.000

Calculated values
For the density of states at the Fermi level, the calculation gives 6.700 states/eV per cell. The volume is 18.9 Å³/atom.

Relative energy of each structure, in meV per atom: arrangement i 28; arrangement ii 0; arrangement iii 820.

Arrangement i

Here is a relaxed structure of BeOs2I from the Alexandria database. Energies are from PBE.

Cell lengths 4.384, 4.407, 10.503 Å; angles 83.23, 86.16, 62.21 degrees
Fractional coordinates of all 8 atoms:
Be 0.000 0.000 0.000
Be 0.348 0.685 0.827
Os 0.012 0.362 0.801
Os 0.339 0.315 0.009
Os 0.682 0.663 0.004
Os 0.683 0.039 0.800
I 0.453 0.482 0.243
I 0.810 0.760 0.569

Calculated values
For the density of states at the Fermi level, the calculation gives 2.673 states/eV per cell. The volume is 22.3 Å³/atom.

Arrangement ii

Here is a relaxed structure of BeOs2I from the Alexandria database. Energies are from PBE.

Cell lengths 4.164, 4.164, 11.004 Å; angles 95.94, 95.94, 60.41 degrees
Fractional coordinates of all 8 atoms:
Be 0.000 0.000 0.000
Be 0.615 0.615 0.744
Os 0.295 0.295 0.835
Os 0.344 0.344 0.071
Os 0.658 0.658 0.966
Os 0.956 0.956 0.787
I 0.043 0.043 0.231
I 0.762 0.762 0.550

Calculated values
For the density of states at the Fermi level, the calculation gives 6.407 states/eV per cell. The volume is 20.6 Å³/atom.

Arrangement iii

Here is a relaxed structure of BeOs2I from the Alexandria database. Energies are from PBE.

Cell lengths 3.788, 4.433, 11.104 Å; angles 80.63, 84.18, 69.25 degrees
Fractional coordinates of all 8 atoms:
Be 0.000 0.000 0.000
Be 0.248 0.718 0.752
Os 0.320 0.409 0.946
Os 0.641 0.856 0.871
Os 0.768 0.515 0.084
Os 0.972 0.263 0.778
I 0.463 0.410 0.583
I 0.830 0.931 0.245

Calculated values
For the density of states at the Fermi level, the calculation gives 5.382 states/eV per cell. The volume is 21.5 Å³/atom.

Relative energy of each structure, in meV per atom: arrangement i 0; arrangement ii 58; arrangement iii 94.

Arrangement i

Here is a relaxed structure of BeOs2I from the Alexandria database. Energies are from PBE.

Cell lengths 4.162, 4.165, 11.214 Å; angles 97.01, 93.70, 119.57 degrees
Fractional coordinates of all 8 atoms:
Be 0.000 0.000 0.000
Be 0.225 0.523 0.746
Os 0.320 0.646 0.966
Os 0.602 0.236 0.836
Os 0.700 0.369 0.071
Os 0.910 0.880 0.788
I 0.109 0.134 0.230
I 0.958 0.603 0.554

Calculated values
For the density of states at the Fermi level, the calculation gives 6.505 states/eV per cell. The volume is 20.8 Å³/atom.

Arrangement ii

Here is a relaxed structure of BeOs2I from the Alexandria database. Energies are from PBE.

Cell lengths 3.773, 4.599, 11.289 Å; angles 81.87, 89.84, 65.78 degrees
Fractional coordinates of all 8 atoms:
Be 0.000 0.000 0.000
Be 0.236 0.524 0.245
Os 0.319 0.359 0.060
Os 0.621 0.755 0.126
Os 0.710 0.579 0.921
Os 0.955 0.085 0.217
I 0.227 0.547 0.743
I 0.449 0.092 0.409

Calculated values
For the density of states at the Fermi level, the calculation gives 6.065 states/eV per cell. The volume is 22.1 Å³/atom.

Relative energy of each structure, in meV per atom: arrangement i 0; arrangement ii 32.

Arrangement i

Here is a relaxed structure of Be3OsI from the Alexandria database. Energies are from PBE.

Cell lengths 4.389, 4.389, 4.389 Å; angles 90.00, 90.00, 90.00 degrees
Fractional coordinates of all 5 atoms:
Be 0.000 0.000 0.500
Be 0.000 0.500 0.000
Be 0.500 0.000 0.000
Os 0.000 0.000 0.000
I 0.500 0.500 0.500

Calculated values
For the density of states at the Fermi level, the calculation gives 3.573 states/eV per cell. The volume is 16.9 Å³/atom.

Arrangement ii

Here is a relaxed structure of Be3OsI from the Alexandria database. Energies are from PBE.

Cell lengths 4.455, 4.455, 4.455 Å; angles 90.00, 90.00, 90.00 degrees
Fractional coordinates of all 5 atoms:
Be 0.000 0.000 0.500
Be 0.000 0.500 0.000
Be 0.500 0.000 0.000
Os 0.500 0.500 0.500
I 0.000 0.000 0.000

Calculated values
For the density of states at the Fermi level, the calculation gives 3.477 states/eV per cell. The volume is 17.7 Å³/atom.

Relative energy of each structure, in meV per atom: arrangement i 0; arrangement ii 1391.

Arrangement i

Here is a relaxed structure of BeOsI3 from the Alexandria database. Energies are from PBE.

Cell lengths 5.447, 5.447, 5.447 Å; angles 90.00, 90.00, 90.00 degrees
Fractional coordinates of all 5 atoms:
Be 0.000 0.000 0.000
Os 0.500 0.500 0.500
I 0.000 0.500 0.500
I 0.500 0.000 0.500
I 0.500 0.500 0.000

Calculated values
For the density of states at the Fermi level, the calculation gives 5.155 states/eV per cell. The volume is 32.3 Å³/atom.

Arrangement ii

Here is a relaxed structure of BeOsI3 from the Alexandria database. Energies are from PBE.

Cell lengths 5.241, 5.241, 5.241 Å; angles 90.00, 90.00, 90.00 degrees
Fractional coordinates of all 5 atoms:
Be 0.000 0.000 0.000
Os 0.500 0.500 0.500
I 0.000 0.000 0.500
I 0.000 0.500 0.000
I 0.500 0.000 0.000

Calculated values
For the density of states at the Fermi level, the calculation gives 6.805 states/eV per cell. The volume is 28.8 Å³/atom.

Relative energy of each structure, in meV per atom: arrangement i 0; arrangement ii 196.

Arrangement i

Here is a relaxed structure of BeTe2OsI from the Alexandria database. Energies are from PBE.

Cell lengths 5.157, 5.157, 5.713 Å; angles 90.00, 90.00, 90.00 degrees
Fractional coordinates of all 5 atoms:
Be 0.000 0.000 0.000
Te 0.000 0.500 0.500
Te 0.500 0.000 0.500
Os 0.500 0.500 0.500
I 0.500 0.500 0.000

Calculated values
For the density of states at the Fermi level, the calculation gives 6.046 states/eV per cell. The volume is 30.4 Å³/atom.

Arrangement ii

Here is a relaxed structure of BeTe2OsI from the Alexandria database. Energies are from PBE.

Cell lengths 4.803, 4.803, 4.859 Å; angles 90.00, 90.00, 90.00 degrees
Fractional coordinates of all 5 atoms:
Be 0.000 0.000 0.000
Te 0.000 0.500 0.000
Te 0.500 0.000 0.000
Os 0.500 0.500 0.500
I 0.000 0.000 0.500

Calculated values
For the density of states at the Fermi level, the calculation gives 3.727 states/eV per cell. The volume is 22.4 Å³/atom.

Relative energy of each structure, in meV per atom: arrangement i 0; arrangement ii 204.

Arrangement i

Here is a relaxed structure of BeP2I from the Alexandria database. Energies are from PBE.

Cell lengths 4.654, 4.654, 4.654 Å; angles 60.00, 60.00, 60.00 degrees
Fractional coordinates of all 4 atoms:
Be 0.000 0.000 0.000
P 0.250 0.250 0.250
P 0.750 0.750 0.750
I 0.500 0.500 0.500

Calculated values
For the density of states at the Fermi level, the calculation gives 3.339 states/eV per cell. The volume is 17.8 Å³/atom.

Arrangement ii

Here is a relaxed structure of BeP2I from the Alexandria database. Energies are from PBE.

Cell lengths 6.500, 6.500, 6.500 Å; angles 125.42, 125.42, 80.84 degrees
Fractional coordinates of all 8 atoms:
Be 0.000 0.000 0.000
Be 0.750 0.250 0.500
P 0.013 0.625 0.888
P 0.375 0.263 0.388
P 0.737 0.125 0.112
P 0.875 0.987 0.612
I 0.250 0.750 0.500
I 0.500 0.500 0.000

Calculated values
For the density of states at the Fermi level, the calculation gives 6.266 states/eV per cell. The volume is 22.0 Å³/atom.

Relative energy of each structure, in meV per atom: arrangement i 728; arrangement ii 0.